Material: DyFe6Ge12
Method: DFT, PBE
State: optimized geometry

Computed properties:
- E (eV for the cell shown) = -215.4

Cell lengths 8.544, 8.544, 8.544 Å; angles 90.00, 90.00, 90.00 degrees
Space group Im-3 (No. 204)
One atom of each set of equivalent atoms:
Dy 0.000 0.000 0.000 (multiplicity 2)
Fe 0.000 0.356 0.500 (multiplicity 12)
Ge 0.000 0.177 0.292 (multiplicity 24)

Material: LiYbO3
Method: DFT, PBE
State: optimized geometry

Computed properties:
- E (eV for the cell shown) = -25.7

Cell lengths 3.706, 3.706, 3.706 Å; angles 90.00, 90.00, 90.00 degrees
Space group Pm-3m (No. 221)
One atom of each set of equivalent atoms:
Li 0.000 0.000 0.000 (multiplicity 1)
Yb 0.500 0.500 0.500 (multiplicity 1)
O 0.000 0.000 0.500 (multiplicity 3)

Material: Ti12In6Au
Method: DFT, PBE
State: optimized geometry

Computed properties:
- E (eV for the cell shown) = -344.3

Cell lengths 10.1278, 10.1278, 12.0940 Å; angles 90.00, 90.00, 120.00 degrees
Space group R-3 (No. 148, hexagonal axes)
One atom of each set of equivalent atoms:
Ti 0.0510 0.8702 0.3009 (multiplicity 18)
Ti 0.0608 0.2005 0.9084 (multiplicity 18)
In 0.0272 0.5931 0.2153 (multiplicity 18)
Au 0.0000 0.0000 0.5000 (multiplicity 3)

Material: K3Ac3HfTe8
Method: DFT, PBE
State: optimized geometry

Computed properties:
- E (eV for the cell shown) = -211.7

Cell lengths 9.3908, 9.3908, 25.3139 Å; angles 90.00, 90.00, 120.00 degrees
Space group R-3m (No. 166, hexagonal axes)
One atom of each set of equivalent atoms:
K 0.0000 0.5000 0.0000 (multiplicity 9)
Ac 0.0000 0.5000 0.5000 (multiplicity 9)
Hf 0.0000 0.0000 0.5000 (multiplicity 3)
Te 0.0000 0.0000 0.2420 (multiplicity 6)
Te 0.0362 0.5181 0.2343 (multiplicity 18)

Material: W2Se
Method: DFT, PBE
State: optimized geometry

Computed properties:
- E (eV for the cell shown) = -27.9

Cell lengths 2.9504, 2.9504, 6.4785 Å; angles 90.00, 90.00, 120.00 degrees
Space group P-3m1 (No. 164)
One atom of each set of equivalent atoms:
W 0.3333 0.6667 0.3238 (multiplicity 2)
Se 0.0000 0.0000 0.0000 (multiplicity 1)

Material: Tb2MnTl
Method: DFT, PBE
State: optimized geometry

Computed properties:
- E (eV for the cell shown) = -20.9

Cell lengths 4.873, 4.873, 4.223 Å; angles 90.00, 90.00, 90.00 degrees
Space group P4/mmm (No. 123)
One atom of each set of equivalent atoms:
Tb 0.000 0.500 0.000 (multiplicity 2)
Mn 0.000 0.000 0.500 (multiplicity 1)
Tl 0.500 0.500 0.500 (multiplicity 1)

Material: La2InCuN
Method: DFT, PBE
State: optimized geometry

Computed properties:
- E (eV for the cell shown) = -27.8

Cell lengths 5.276, 5.276, 4.012 Å; angles 90.00, 90.00, 90.00 degrees
Space group P4/mmm (No. 123)
One atom of each set of equivalent atoms:
La 0.000 0.500 0.000 (multiplicity 2)
In 0.000 0.000 0.500 (multiplicity 1)
Cu 0.500 0.500 0.500 (multiplicity 1)
N 0.500 0.500 0.000 (multiplicity 1)

Material: Ti4CN
Method: DFT, PBE
State: optimized geometry

Computed properties:
- E (eV for the cell shown) = -110.1

Cell lengths 5.871, 4.991, 5.874 Å; angles 90.00, 116.55, 90.00 degrees
Space group P2_1/c (No. 14)
One atom of each set of equivalent atoms:
Ti 0.145 0.202 0.347 (multiplicity 4)
Ti 0.347 0.701 0.646 (multiplicity 4)
C 0.500 0.000 0.500 (multiplicity 2)
N 0.000 0.000 0.000 (multiplicity 2)

Material: SmGdPt2
Method: DFT, PBE
State: optimized geometry

Computed properties:
- E (eV for the cell shown) = -141.6

Cell lengths 7.097, 7.097, 7.097 Å; angles 90.00, 90.00, 90.00 degrees
Space group Fm-3m (No. 225)
One atom of each set of equivalent atoms:
Sm 0.000 0.000 0.000 (multiplicity 4)
Gd 0.000 0.000 0.500 (multiplicity 4)
Pt 0.250 0.250 0.250 (multiplicity 8)

Material: Si2Ni2Pd
Method: DFT, PBE
State: optimized geometry

Computed properties:
- E (eV for the cell shown) = -59.4

Cell lengths 6.767, 6.767, 2.665 Å; angles 90.00, 90.00, 90.00 degrees
Space group P4/mbm (No. 127)
One atom of each set of equivalent atoms:
Si 0.166 0.334 0.000 (multiplicity 4)
Ni 0.131 0.631 0.500 (multiplicity 4)
Pd 0.000 0.000 0.500 (multiplicity 2)

Repeat the tenth record exactly.
Material: Si2Ni2Pd
Method: DFT, PBE
State: optimized geometry

Computed properties:
- E (eV for the cell shown) = -59.4

Cell lengths 6.767, 6.767, 2.665 Å; angles 90.00, 90.00, 90.00 degrees
Space group P4/mbm (No. 127)
One atom of each set of equivalent atoms:
Si 0.166 0.334 0.000 (multiplicity 4)
Ni 0.131 0.631 0.500 (multiplicity 4)
Pd 0.000 0.000 0.500 (multiplicity 2)

Look up the E of the tenth one. -59.4 eV for the cell shown

The lowest E belongs to which entry? Ti12In6Au

Which of these has the lowest E? Ti12In6Au